Entry 1:
# Sr3Zn6Ag5 | Alexandria via LeMat-Bulk | GGA-PBE | optimized geometry
data_Sr3Zn6Ag5
_symmetry_space_group_name_H-M 'P m m n'
_symmetry_Int_Tables_number 59
_cell_length_a 4.5616
_cell_length_b 13.5506
_cell_length_c 9.9091
_cell_angle_alpha 90.00
_cell_angle_beta 90.00
_cell_angle_gamma 90.00
loop_
_symmetry_equiv_pos_as_xyz
'x,y,z'
'-x,-y,-z'
'-x+1/2,-y+1/2,z'
'x+1/2,y+1/2,-z'
'x+1/2,-y,-z'
'-x+1/2,y,z'
'-x,y+1/2,-z'
'x,-y+1/2,z'
loop_
_atom_site_label
_atom_site_type_symbol
_atom_site_fract_x
_atom_site_fract_y
_atom_site_fract_z
Sr1 Sr 0.2500 0.0594 0.2480
Sr2 Sr 0.2500 0.7500 0.2499
Zn1 Zn 0.2500 0.0764 0.8997
Zn2 Zn 0.2500 0.2500 0.0347
Zn3 Zn 0.2500 0.2500 0.4646
Zn4 Zn 0.2500 0.6129 0.5250
Ag1 Ag 0.2500 0.0839 0.6183
Ag2 Ag 0.2500 0.6293 0.9688
Ag3 Ag 0.2500 0.7500 0.7264
# VASP energy: -2.145 eV per atom

Entry 2:
# SrZnAg2 | Alexandria via LeMat-Bulk | GGA-PBE | optimized geometry
data_SrZnAg2
_symmetry_space_group_name_H-M 'I -4 2 d'
_symmetry_Int_Tables_number 122
_symmetry_space_group_name_Hall 'I -4 2bw'
_cell_length_a 5.1618
_cell_length_b 5.1618
_cell_length_c 17.7523
_cell_angle_alpha 90.00
_cell_angle_beta 90.00
_cell_angle_gamma 90.00
loop_
_atom_site_label
_atom_site_type_symbol
_atom_site_fract_x
_atom_site_fract_y
_atom_site_fract_z
Sr1 Sr 0.0000 0.0000 0.0000
Zn1 Zn 0.0000 0.0000 0.5000
Ag1 Ag 0.0605 0.2500 0.6250
# VASP energy: -2.193 eV per atom

Entry 3:
# SrZn6Ag12 | Alexandria via LeMat-Bulk | GGA-PBE | optimized geometry
data_SrZn6Ag12
_symmetry_space_group_name_H-M 'R -3 m'
_symmetry_Int_Tables_number 166
_symmetry_space_group_name_Hall '-R 3 2"'
_cell_length_a 11.7729
_cell_length_b 11.7729
_cell_length_c 9.2254
_cell_angle_alpha 90.00
_cell_angle_beta 90.00
_cell_angle_gamma 120.00
loop_
_atom_site_label
_atom_site_type_symbol
_atom_site_fract_x
_atom_site_fract_y
_atom_site_fract_z
Sr1 Sr 0.0000 0.0000 0.0000
Zn1 Zn 0.0492 0.5246 0.2517
Ag1 Ag 0.0000 0.3836 0.5000
Ag2 Ag 0.0862 0.1724 0.3128
# VASP energy: -2.273 eV per atom

Entry 4:
# Sr2Zn7Ag12 | Alexandria via LeMat-Bulk | GGA-PBE | optimized geometry
data_Sr2Zn7Ag12
_symmetry_space_group_name_H-M 'P -6'
_symmetry_Int_Tables_number 174
_symmetry_space_group_name_Hall 'P -6'
_cell_length_a 10.3139
_cell_length_b 10.3139
_cell_length_c 4.4606
_cell_angle_alpha 90.00
_cell_angle_beta 90.00
_cell_angle_gamma 120.00
loop_
_atom_site_label
_atom_site_type_symbol
_atom_site_fract_x
_atom_site_fract_y
_atom_site_fract_z
Sr1 Sr 0.0000 0.0000 0.0000
Sr2 Sr 0.3333 0.6667 0.5000
Zn1 Zn 0.0215 0.5484 0.0000
Zn2 Zn 0.2508 0.0009 0.5000
Zn3 Zn 0.6667 0.3333 0.0000
Ag1 Ag 0.0095 0.7277 0.5000
Ag2 Ag 0.1597 0.3813 0.0000
Ag3 Ag 0.3736 0.1689 0.0000
Ag4 Ag 0.5548 0.1440 0.5000
# VASP energy: -2.315 eV per atom

Entry 5:
# SrZnAg3 | Alexandria via LeMat-Bulk | GGA-PBE | optimized geometry
data_SrZnAg3
_symmetry_space_group_name_H-M 'P m -3 m'
_symmetry_Int_Tables_number 221
_symmetry_space_group_name_Hall '-P 4 2 3'
_cell_length_a 5.9751
_cell_length_b 5.9751
_cell_length_c 5.9751
_cell_angle_alpha 90.00
_cell_angle_beta 90.00
_cell_angle_gamma 90.00
loop_
_atom_site_label
_atom_site_type_symbol
_atom_site_fract_x
_atom_site_fract_y
_atom_site_fract_z
Sr1 Sr 0.0000 0.0000 0.0000
Zn1 Zn 0.5000 0.5000 0.5000
Ag1 Ag 0.0000 0.0000 0.5000
# distance to the lowest polymorph of the same formula: 1113.0 meV per atom

Entry 6:
# SrZn5Ag2 | Alexandria via LeMat-Bulk | GGA-PBE | optimized geometry
data_SrZn5Ag2
_symmetry_space_group_name_H-M 'I m m m'
_symmetry_Int_Tables_number 71
_symmetry_space_group_name_Hall '-I 2 2'
_cell_length_a 4.1971
_cell_length_b 7.3680
_cell_length_c 10.3405
_cell_angle_alpha 90.00
_cell_angle_beta 90.00
_cell_angle_gamma 90.00
loop_
_atom_site_label
_atom_site_type_symbol
_atom_site_fract_x
_atom_site_fract_y
_atom_site_fract_z
Sr1 Sr 0.0000 0.0000 0.0000
Zn1 Zn 0.0000 0.1828 0.3682
Zn2 Zn 0.0000 0.5000 0.0000
Ag1 Ag 0.0000 0.5000 0.2507
# VASP energy: -1.839 eV per atom

Entry 7:
# SrZn2Ag2 | Alexandria via LeMat-Bulk | GGA-PBE | optimized geometry
data_SrZn2Ag2
_symmetry_space_group_name_H-M 'P 4/m b m'
_symmetry_Int_Tables_number 127
_symmetry_space_group_name_Hall '-P 4 2ab'
_cell_length_a 7.9826
_cell_length_b 7.9826
_cell_length_c 3.2499
_cell_angle_alpha 90.00
_cell_angle_beta 90.00
_cell_angle_gamma 90.00
loop_
_atom_site_label
_atom_site_type_symbol
_atom_site_fract_x
_atom_site_fract_y
_atom_site_fract_z
Sr1 Sr 0.0000 0.0000 0.0000
Zn1 Zn 0.1154 0.3846 0.0000
Ag1 Ag 0.1785 0.6785 0.5000
# distance to the lowest polymorph of the same formula: 152.5 meV per atom

Entry 8:
# SrZn11Ag | Alexandria via LeMat-Bulk | GGA-PBE | optimized geometry
data_SrZn11Ag
_symmetry_space_group_name_H-M 'C 1 2/m 1'
_symmetry_Int_Tables_number 12
_symmetry_space_group_name_Hall '-C 2y'
_cell_length_a 5.3288
_cell_length_b 12.9698
_cell_length_c 6.9199
_cell_angle_alpha 90.00
_cell_angle_beta 112.05
_cell_angle_gamma 90.00
loop_
_atom_site_label
_atom_site_type_symbol
_atom_site_fract_x
_atom_site_fract_y
_atom_site_fract_z
Sr1 Sr 0.0000 0.0000 0.0000
Zn1 Zn 0.0000 0.5000 0.5000
Zn2 Zn 0.1064 0.3848 0.2240
Zn3 Zn 0.1840 0.1794 0.3556
Zn4 Zn 0.2500 0.2500 0.0000
Ag1 Ag 0.0000 0.0000 0.5000
# VASP energy: -1.538 eV per atom

Entry 9:
# Sr2ZnAg5 | Alexandria via LeMat-Bulk | GGA-PBE | optimized geometry
data_Sr2ZnAg5
_symmetry_space_group_name_H-M 'C m c m'
_symmetry_Int_Tables_number 63
_symmetry_space_group_name_Hall '-C 2c 2'
_cell_length_a 4.7180
_cell_length_b 17.1793
_cell_length_c 9.7334
_cell_angle_alpha 90.00
_cell_angle_beta 90.00
_cell_angle_gamma 90.00
loop_
_atom_site_label
_atom_site_type_symbol
_atom_site_fract_x
_atom_site_fract_y
_atom_site_fract_z
Sr1 Sr 0.0000 0.0000 0.0000
Sr2 Sr 0.0000 0.2073 0.2500
Zn1 Zn 0.0000 0.4428 0.7500
Ag1 Ag 0.0000 0.1835 0.6070
Ag2 Ag 0.0000 0.3522 0.5320
Ag3 Ag 0.0000 0.4039 0.2500
# VASP energy: -2.561 eV per atom

Entry 10:
# Sr2ZnAg | Alexandria via LeMat-Bulk | GGA-PBE | optimized geometry
data_Sr2ZnAg
_symmetry_space_group_name_H-M 'I -4 2 d'
_symmetry_Int_Tables_number 122
_symmetry_space_group_name_Hall 'I -4 2bw'
_cell_length_a 8.5323
_cell_length_b 8.5323
_cell_length_c 7.7980
_cell_angle_alpha 90.00
_cell_angle_beta 90.00
_cell_angle_gamma 90.00
loop_
_atom_site_label
_atom_site_type_symbol
_atom_site_fract_x
_atom_site_fract_y
_atom_site_fract_z
Sr1 Sr 0.2475 0.2500 0.1250
Zn1 Zn 0.0000 0.0000 0.5000
Ag1 Ag 0.0000 0.0000 0.0000
# VASP energy: -1.836 eV per atom

Entry 11:
# SrZn2Ag8 | Alexandria via LeMat-Bulk | GGA-PBE | optimized geometry
data_SrZn2Ag8
_symmetry_space_group_name_H-M 'P 4/m m m'
_symmetry_Int_Tables_number 123
_symmetry_space_group_name_Hall '-P 4 2'
_cell_length_a 5.5322
_cell_length_b 5.5322
_cell_length_c 9.0967
_cell_angle_alpha 90.00
_cell_angle_beta 90.00
_cell_angle_gamma 90.00
loop_
_atom_site_label
_atom_site_type_symbol
_atom_site_fract_x
_atom_site_fract_y
_atom_site_fract_z
Sr1 Sr 0.0000 0.0000 0.0000
Zn1 Zn 0.0000 0.5000 0.5000
Ag1 Ag 0.2514 0.2514 0.2938
# VASP energy: -2.290 eV per atom

Entry 12:
# SrZn3Ag3 | Alexandria via LeMat-Bulk | GGA-PBE | optimized geometry
data_SrZn3Ag3
_symmetry_space_group_name_H-M 'R -3'
_symmetry_Int_Tables_number 148
_symmetry_space_group_name_Hall '-R 3'
_cell_length_a 7.3907
_cell_length_b 7.3907
_cell_length_c 18.6168
_cell_angle_alpha 90.00
_cell_angle_beta 90.00
_cell_angle_gamma 120.00
loop_
_atom_site_label
_atom_site_type_symbol
_atom_site_fract_x
_atom_site_fract_y
_atom_site_fract_z
Sr1 Sr 0.0000 0.0000 0.1660
Zn1 Zn 0.0014 0.6012 0.6280
Ag1 Ag 0.0038 0.7768 0.4317
# distance to the lowest polymorph of the same formula: 0.0 meV per atom